DFT (SCAN) results for a crystal of Ni3Au relaxed with PBEsol.

The value obtained for the calculated volume is 48 Å³ per cell.

Cell: 2.661 2.661 6.831 Å, 90.00 90.00 90.00°
Last column: magnetic moment on the atom in μB.
Fractional positions:
1 Ni 0.500 0.500 0.280  0.73
2 Ni 0.000 0.000 0.500  0.85
3 Ni 0.500 0.500 0.720  0.73
4 Au 0.000 0.000 0.000  0.00

=====

DFT (SCAN) results for a crystal of NiAu relaxed with PBEsol.

The value obtained for the calculated volume is 56 Å³ per cell.

Cell: 4.289 4.289 4.289 Å, 60.00 60.00 60.00°
Last column: magnetic moment on the atom in μB.
Fractional positions:
1 Ni 0.500 0.500 0.500  0.73
2 Ni 0.750 0.750 0.750  0.73
3 Au 0.250 0.250 0.250  0.01
4 Au 0.000 0.000 0.000  0.01

=====

no.,electronic total energy (eV per atom)
1,-29.32
2,-42.46